Below is a relaxed La3MoO7 crystal, with properties calculated at the GGA-PBEsol level.

The structure in POSCAR format:
```
La3MoO7
1.0
7.6464 0.0000 0.0000
0.0000 11.0656 0.0000
0.0000 0.0000 7.4971
La Mo O
12 4 28
Cartesian
0.0418 2.7664 1.6994
1.9056 5.8276 0.4340
1.9056 10.7707 0.4340
1.9176 0.2948 4.1825
1.9176 5.2380 4.1825
3.7814 8.2992 5.4479
3.8650 2.7664 2.0492
5.7287 5.8276 3.3146
5.7287 10.7707 3.3146
5.7408 0.2948 7.0632
5.7408 5.2380 7.0632
7.6046 8.2992 5.7978
0.0162 8.2992 1.8896
3.8070 2.7664 5.6381
3.8394 8.2992 1.8590
7.6302 2.7664 5.6076
0.2557 1.4191 7.0868
0.2557 4.1137 7.0868
0.2925 6.8827 3.1675
0.2925 9.7157 3.1675
1.8941 2.7664 5.2104
1.8986 6.8586 5.8369
1.8986 9.7397 5.8369
1.9246 1.3258 2.0884
1.9246 4.2070 2.0884
1.9291 8.2992 1.4618
3.5307 1.3499 6.9161
3.5307 4.1829 6.9161
3.5675 6.9519 3.3382
3.5675 9.6464 3.3382
4.0789 1.4191 4.1589
4.0789 4.1137 4.1589
4.1157 6.8827 0.5810
4.1157 9.7157 0.5810
5.7173 2.7664 6.0353
5.7218 6.8586 5.4088
5.7218 9.7397 5.4088
5.7478 1.3258 1.6602
5.7478 4.2070 1.6602
5.7523 8.2992 2.2868
7.3539 1.3499 4.3296
7.3539 4.1829 4.3296
7.3907 6.9519 0.4103
7.3907 9.6464 0.4103
```

Output
symmetry: Pnma, No. 62
E_form (uncorrected): -3076 meV/atom
calculated total energy: -8.944 eV per atom

---

Below is a relaxed LaMoPO2 crystal, with properties calculated at the GGA-PBEsol level.

The structure in POSCAR format:
```
LaMoPO2
1.0
3.9991 0.0000 0.0000
0.0000 3.9991 0.0000
0.0000 0.0000 4.7921
La Mo P O
1 1 1 2
Cartesian
0.0000 0.0000 0.0000
1.9996 1.9996 2.3960
1.9996 1.9996 0.0000
0.0000 1.9996 2.3960
1.9996 0.0000 2.3960
```

Output
symmetry: P4/mmm, No. 123
E_form (uncorrected): -1692 meV/atom
calculated total energy: -8.373 eV per atom

---

Below is a relaxed RbLaMo2O8 crystal, with properties calculated at the GGA-PBEsol level.

The structure in POSCAR format:
```
RbLaMo2O8
1.0
6.3249 0.0000 0.0000
0.0000 6.3249 0.0000
0.0000 0.0000 9.6437
Rb La Mo O
2 2 4 16
Cartesian
1.5812 1.5812 2.4109
4.7437 4.7437 7.2327
1.5812 1.5812 7.2327
4.7437 4.7437 2.4109
1.5812 4.7437 0.0000
1.5812 4.7437 4.8218
4.7437 1.5812 0.0000
4.7437 1.5812 4.8218
0.3686 4.0105 1.0573
0.3686 5.4768 3.7645
0.8481 3.5310 5.8791
0.8481 5.9563 8.5864
2.3144 3.5310 8.5864
2.3144 5.9563 5.8791
2.7939 4.0105 3.7645
2.7939 5.4768 1.0573
3.5310 0.8481 8.5864
3.5310 2.3144 5.8791
4.0105 0.3686 3.7645
4.0105 2.7939 1.0573
5.4768 0.3686 1.0573
5.4768 2.7939 3.7645
5.9563 0.8481 5.8791
5.9563 2.3144 8.5864
```

Output
symmetry: P4/nnc, No. 126
E_form (uncorrected): -2451 meV/atom
calculated total energy: -8.443 eV per atom

---

Below is a relaxed LaTl2MoO crystal, with properties calculated at the GGA-PBEsol level.

The structure in POSCAR format:
```
LaTl2MoO
1.0
6.1884 0.0000 0.0000
0.0000 6.1884 0.0000
0.0000 0.0000 4.1582
La Tl Mo O
1 2 1 1
Cartesian
0.0000 0.0000 0.0000
0.0000 3.0942 0.0000
3.0942 0.0000 0.0000
3.0942 3.0942 2.0791
0.0000 0.0000 2.0791
```

Output
symmetry: P4/mmm, No. 123
E_form (uncorrected): 518 meV/atom
calculated total energy: -5.007 eV per atom

---

Below is a relaxed LaMoOs2 crystal, with properties calculated at the GGA-PBEsol level.

The structure in POSCAR format:
```
LaMoOs2
1.0
-2.2290 2.2290 3.5196
2.2290 -2.2290 3.5196
2.2290 2.2290 -3.5196
La Mo Os
1 1 2
Cartesian
0.0000 0.0000 0.0000
0.0000 0.0000 3.5196
2.2290 0.0000 1.7598
0.0000 2.2290 1.7598
```

Output
symmetry: I4/mmm, No. 139
excess energy over the best structure of this formula in the dataset: 2.76 kcal/mol of atoms
calculated formation energy: 612 meV per atom
calculated total energy: -9.775 eV per atom

---

Below is a relaxed La3MoOs crystal, with properties calculated at the GGA-PBEsol level.

The structure in POSCAR format:
```
La3MoOs
1.0
5.2010 0.0000 0.0000
0.0000 5.2010 0.0000
0.0000 0.0000 5.2010
La Mo Os
3 1 1
Cartesian
0.0000 0.0000 2.6005
0.0000 2.6005 0.0000
2.6005 0.0000 0.0000
0.0000 0.0000 0.0000
2.6005 2.6005 2.6005
```

Output
symmetry: Pm-3m, No. 221
calculated formation energy: 1006 meV per atom
calculated total energy: -6.999 eV per atom